Record 1
# KSc3Pd, relaxed, DFT GGA-PBE
# ΔH_f (0 K) (eV per atom): 1.3308
# Distance to the lowest polymorph of the same formula (eV per formula unit): 6.205
data_KSc3Pd
_chemical_formula_sum 'K1 Sc3 Pd1'
_cell_length_a 4.753
_cell_length_b 4.753
_cell_length_c 4.753
_cell_angle_alpha 90.00
_cell_angle_beta 90.00
_cell_angle_gamma 90.00
_symmetry_space_group_name_H-M 'P m -3 m'
_symmetry_Int_Tables_number 221
_symmetry_space_group_name_Hall '-P 4 2 3'
loop_
_atom_site_label
_atom_site_fract_x
_atom_site_fract_y
_atom_site_fract_z
_atom_site_occupancy
K1 0.000 0.000 0.000 1
Sc1 0.000 0.000 0.500 1
Pd1 0.500 0.500 0.500 1

Record 2
# KSc2Pd, relaxed, DFT GGA-PBE
# ΔH_f (0 K) (eV per atom): 0.4525
# Distance to the lowest polymorph of the same formula (eV per formula unit): 1.974
data_KSc2Pd
_chemical_formula_sum 'K4 Sc8 Pd4'
_cell_length_a 6.673
_cell_length_b 6.673
_cell_length_c 15.171
_cell_angle_alpha 90.00
_cell_angle_beta 90.00
_cell_angle_gamma 90.00
_symmetry_space_group_name_H-M 'I -4 2 d'
_symmetry_Int_Tables_number 122
_symmetry_space_group_name_Hall 'I -4 2bw'
loop_
_atom_site_label
_atom_site_fract_x
_atom_site_fract_y
_atom_site_fract_z
_atom_site_occupancy
K1 0.000 0.000 0.000 1
Sc1 0.001 0.750 0.625 1
Pd1 0.000 0.000 0.500 1

Record 3
# K3ScPd, relaxed, DFT GGA-PBE
# ΔH_f (0 K) (eV per atom): 0.6165
# Distance to the lowest polymorph of the same formula (eV per formula unit): 0.000
data_K3ScPd
_chemical_formula_sum 'K3 Sc1 Pd1'
_cell_length_a 6.201
_cell_length_b 6.201
_cell_length_c 6.201
_cell_angle_alpha 90.00
_cell_angle_beta 90.00
_cell_angle_gamma 90.00
_symmetry_space_group_name_H-M 'P m -3 m'
_symmetry_Int_Tables_number 221
_symmetry_space_group_name_Hall '-P 4 2 3'
loop_
_atom_site_label
_atom_site_fract_x
_atom_site_fract_y
_atom_site_fract_z
_atom_site_occupancy
K1 0.000 0.000 0.500 1
Sc1 0.500 0.500 0.500 1
Pd1 0.000 0.000 0.000 1

Record 4
# KSc2Pd, relaxed, DFT GGA-PBE
# ΔH_f (0 K) (eV per atom): 0.2329
# Distance to the lowest polymorph of the same formula (eV per formula unit): 1.095
data_KSc2Pd
_chemical_formula_sum 'K4 Sc8 Pd4'
_cell_length_a 7.098
_cell_length_b 7.098
_cell_length_c 7.098
_cell_angle_alpha 90.00
_cell_angle_beta 90.00
_cell_angle_gamma 90.00
_symmetry_space_group_name_H-M 'F m -3 m'
_symmetry_Int_Tables_number 225
_symmetry_space_group_name_Hall '-F 4 2 3'
loop_
_atom_site_label
_atom_site_fract_x
_atom_site_fract_y
_atom_site_fract_z
_atom_site_occupancy
K1 0.000 0.000 0.000 1
Sc1 0.250 0.250 0.250 1
Pd1 0.000 0.000 0.500 1

Record 5
# KSc2Pd, relaxed, DFT GGA-PBE
# ΔH_f (0 K) (eV per atom): -0.0409
# Distance to the lowest polymorph of the same formula (eV per formula unit): 0.000
data_KSc2Pd
_chemical_formula_sum 'K3 Sc6 Pd3'
_cell_length_a 3.9431
_cell_length_b 3.9431
_cell_length_c 31.0331
_cell_angle_alpha 90.00
_cell_angle_beta 90.00
_cell_angle_gamma 120.00
_symmetry_space_group_name_H-M 'R -3 m'
_symmetry_Int_Tables_number 166
_symmetry_space_group_name_Hall '-R 3 2"'
loop_
_atom_site_label
_atom_site_fract_x
_atom_site_fract_y
_atom_site_fract_z
_atom_site_occupancy
K1 0.0000 0.0000 0.0000 1
Sc1 0.0000 0.0000 0.1238 1
Pd1 0.0000 0.0000 0.5000 1

Record 6
# KSc2PdSe4, relaxed, DFT GGA-PBE
# Formation energy (no corrections) (eV/atom): -1.306
data_KSc2PdSe4
_chemical_formula_sum 'K4 Sc8 Pd4 Se16'
_cell_length_a 3.888
_cell_length_b 13.984
_cell_length_c 14.072
_cell_angle_alpha 90.00
_cell_angle_beta 90.00
_cell_angle_gamma 90.00
_symmetry_space_group_name_H-M 'C m c m'
_symmetry_Int_Tables_number 63
_symmetry_space_group_name_Hall '-C 2c 2'
loop_
_atom_site_label
_atom_site_fract_x
_atom_site_fract_y
_atom_site_fract_z
_atom_site_occupancy
K1 0.000 0.129 0.250 1
Sc1 0.000 0.373 0.071 1
Pd1 0.000 0.155 0.750 1
Se1 0.000 0.000 0.000 1
Se2 0.000 0.258 0.600 1
Se3 0.000 0.453 0.250 1

Record 7
# K2ScVPd, relaxed, DFT GGA-PBE
# ΔH_f (0 K) (eV per atom): 1.2937
data_K2ScVPd
_chemical_formula_sum 'K2 Sc1 V1 Pd1'
_cell_length_a 6.061
_cell_length_b 6.061
_cell_length_c 5.346
_cell_angle_alpha 90.00
_cell_angle_beta 90.00
_cell_angle_gamma 90.00
_symmetry_space_group_name_H-M 'P 4/m m m'
_symmetry_Int_Tables_number 123
_symmetry_space_group_name_Hall '-P 4 2'
loop_
_atom_site_label
_atom_site_fract_x
_atom_site_fract_y
_atom_site_fract_z
_atom_site_occupancy
K1 0.000 0.500 0.000 1
Sc1 0.000 0.000 0.500 1
V1 0.000 0.000 0.000 1
Pd1 0.500 0.500 0.500 1

Record 8
# KZr2ScPd, relaxed, DFT GGA-PBE
# ΔH_f (0 K) (eV per atom): 0.9121
data_KZr2ScPd
_chemical_formula_sum 'K1 Zr2 Sc1 Pd1'
_cell_length_a 5.288
_cell_length_b 5.288
_cell_length_c 4.928
_cell_angle_alpha 90.00
_cell_angle_beta 90.00
_cell_angle_gamma 90.00
_symmetry_space_group_name_H-M 'P 4/m m m'
_symmetry_Int_Tables_number 123
_symmetry_space_group_name_Hall '-P 4 2'
loop_
_atom_site_label
_atom_site_fract_x
_atom_site_fract_y
_atom_site_fract_z
_atom_site_occupancy
K1 0.000 0.000 0.000 1
Zr1 0.000 0.500 0.500 1
Sc1 0.500 0.500 0.500 1
Pd1 0.500 0.500 0.000 1